Material: KPbSe2
Method: DFT, GGA-PBE
State: optimized geometry

Cell: 8.317 8.317 8.317 Å, 153.60 150.43 40.05°
Sites, in units of the cell vectors:
Se 0.782 0.282 0.500
Se 0.063 0.063 0.000
Pb 0.200 0.700 0.500
K 0.455 0.455 0.000

Output
formation energy (no corrections) = -585.1 meV/atom


Material: K2PbSe
Method: DFT, GGA-PBE
State: optimized geometry

Cell: 6.397 6.397 6.397 Å, 135.72 135.72 64.41°
Sites, in units of the cell vectors:
Se 0.750 0.250 0.500
Pb 0.250 0.750 0.500
K 0.000 0.000 0.000
K 0.500 0.500 0.000

Output
formation energy (no corrections) = -430.2 meV/atom
polymorph energy (0 for the lowest one) = 91 meV/atom


Material: KPbSe
Method: DFT, GGA-PBE
State: optimized geometry

Cell: 4.322 4.729 6.795 Å, 69.87 71.48 63.67°
Sites, in units of the cell vectors:
Se 0.607 0.533 0.010
Pb 0.861 0.836 0.207
K 0.387 0.290 0.688

Output
formation energy (no corrections) = -512.3 meV/atom
polymorph energy (0 for the lowest one) = 42 meV/atom


Material: KPbSe
Method: DFT, GGA-PBE
State: optimized geometry

Cell: 4.162 4.401 6.157 Å, 90.00 109.83 90.00°
Sites, in units of the cell vectors:
K 0.739 0.000 0.175
Pb 0.460 0.500 0.618
Se 0.125 0.500 0.949

Output
formation energy (no corrections) = -554.0 meV/atom
polymorph energy (0 for the lowest one) = 0 meV/atom


What V values result from the calculations? In sequence: 31.49, 31.47, 38.19, 35.36 Å³ per atom.